1.
Material: DyErNi
Method: DFT, GGA-PBE
State: optimized geometry

Summary:
Fermi-level density of states ... 0.791 states/eV per atom
Energy of formation from the pure elements ... -260 meV/atom
Offset from the most stable computed form ... 12 kJ/mol of formula units

abc: 3.3831 3.3831 6.6247
angles: 104.79 104.79 90.00
Closest atoms and distances in Å follow each position.
Fractional positions:
Ni1 0.6649 0.6649 0.3298  4 Er 2.87, 4 Dy 2.91
Er1 0.0362 0.0362 0.0723  4 Ni 2.87
Dy1 0.2989 0.2989 0.5979  4 Ni 2.91, 1 Er 3.25

2.
Material: DyEr6Ni2
Method: DFT, GGA-PBE
State: optimized geometry

Summary:
Fermi-level density of states ... 1.487 states/eV per atom
Energy of formation from the pure elements ... -136 meV/atom

abc: 8.4713 8.4713 8.4713
angles: 105.79 115.61 107.20
Closest atoms and distances in Å follow each position.
Fractional positions:
Dy1 0.0000 0.5000 0.5000  12 Er 3.35-3.58
Dy2 0.0000 0.0000 0.0000  8 Er 3.18-3.34
Er1 0.5067 0.8088 0.6978  2 Ni 2.89
Er2 0.4933 0.1912 0.3022  2 Ni 2.89
Er3 0.1110 0.8088 0.3022  2 Ni 2.89
Er4 0.8890 0.1912 0.6978  2 Ni 2.89
Er5 0.7811 0.0059 0.2248  1 Ni 2.73
Er6 0.2189 0.9941 0.7752  1 Ni 2.73
Er7 0.2189 0.4438 0.2248  1 Ni 2.73
Er8 0.7811 0.5562 0.7752  1 Ni 2.73
Er9 0.6963 0.3112 0.0075  3 Ni 2.64-2.94
Er10 0.3037 0.6888 0.9925  3 Ni 2.64-2.94
Er11 0.3037 0.3112 0.6150  3 Ni 2.64-2.94
Er12 0.6963 0.6888 0.3850  3 Ni 2.64-2.94
Ni1 0.5000 0.1196 0.6196  1 Ni 2.44, 2 Er 2.64
Ni2 0.5000 0.8804 0.3804  1 Ni 2.44, 2 Er 2.64
Ni3 0.6336 0.6336 0.0000  1 Ni 2.69, 6 Er 2.73-2.94
Ni4 0.3664 0.3664 0.0000  1 Ni 2.69, 6 Er 2.73-2.94

3.
Material: DyErNi2
Method: DFT, GGA-PBE
State: optimized geometry

Summary:
Fermi-level density of states ... 0.656 states/eV per atom
Energy of formation from the pure elements ... -413 meV/atom
Offset from the most stable computed form ... 23 kJ/mol of formula units

abc: 3.3078 4.7835 4.7835
angles: 90.00 90.00 90.00
Closest atoms and distances in Å follow each position.
Fractional positions:
Ni1 0.0000 0.0000 0.5000  4 Dy 2.91, 4 Er 2.91
Ni2 0.0000 0.5000 0.0000  4 Dy 2.91, 4 Er 2.91
Dy1 0.5000 0.5000 0.5000  8 Ni 2.91
Er1 0.5000 0.0000 0.0000  8 Ni 2.91

4.
Material: Dy2ErNi9
Method: DFT, GGA-PBE
State: optimized geometry

Summary:
Fermi-level density of states ... 1.242 states/eV per atom
Energy of formation from the pure elements ... -418 meV/atom

abc: 4.9496 4.9496 8.6006
angles: 73.28 73.28 60.00
Closest atoms and distances in Å follow each position.
Fractional positions:
Dy1 0.8613 0.8613 0.4160  12 Ni 2.84-3.10, 3 Dy 3.17
Dy2 0.1387 0.1387 0.5840  12 Ni 2.84-3.10, 3 Dy 3.17
Er1 0.0000 0.0000 0.0000  18 Ni 2.86-3.18
Ni1 0.6669 0.6669 0.9993  6 Ni 2.44-2.46
Ni2 0.3331 0.3331 0.0007  6 Ni 2.44-2.46
Ni3 0.5000 0.5000 0.5000  6 Ni 2.51
Ni4 0.4178 0.4178 0.2452  7 Ni 2.44-2.51
Ni5 0.9192 0.4178 0.2452  7 Ni 2.44-2.51
Ni6 0.4178 0.9192 0.2452  7 Ni 2.44-2.51
Ni7 0.5822 0.5822 0.7548  7 Ni 2.44-2.51
Ni8 0.5822 0.0808 0.7548  7 Ni 2.44-2.51
Ni9 0.0808 0.5822 0.7548  7 Ni 2.44-2.51

5.
Material: Dy3ErNi
Method: DFT, GGA-PBE
State: optimized geometry

Summary:
Fermi-level density of states ... 1.970 states/eV per atom
Energy of formation from the pure elements ... -17 meV/atom
Offset from the most stable computed form ... 76 kJ/mol of formula units

abc: 5.2950 5.2950 5.2950
angles: 90.00 90.00 90.00
Closest atoms and distances in Å follow each position.
Fractional positions:
Ni1 0.0000 0.0000 0.0000  6 Dy 2.65
Dy1 0.0000 0.5000 0.0000  2 Ni 2.65
Dy2 0.0000 0.0000 0.5000  2 Ni 2.65
Dy3 0.5000 0.0000 0.0000  2 Ni 2.65
Er1 0.5000 0.5000 0.5000  12 Dy 3.74

6.
Material: DyEr12Ni6
Method: DFT, GGA-PBE
State: optimized geometry

Summary:
Fermi-level density of states ... 1.144 states/eV per atom
Energy of formation from the pure elements ... -256 meV/atom

abc: 8.4401 8.4401 8.4401
angles: 109.47 109.47 109.47
Closest atoms and distances in Å follow each position.
Fractional positions:
Dy1 0.0000 0.0000 0.0000  12 Er 3.52
Er1 0.3106 0.1264 0.8158  3 Ni 2.63-2.84
Er2 0.3106 0.4948 0.1842  3 Ni 2.63-2.84
Er3 0.6894 0.5052 0.8158  3 Ni 2.63-2.84
Er4 0.6894 0.8736 0.1842  3 Ni 2.63-2.84
Er5 0.1264 0.8158 0.3106  3 Ni 2.63-2.84
Er6 0.4948 0.1842 0.3106  3 Ni 2.63-2.84
Er7 0.5052 0.8158 0.6894  3 Ni 2.63-2.84
Er8 0.8736 0.1842 0.6894  3 Ni 2.63-2.84
Er9 0.8158 0.3106 0.1264  3 Ni 2.63-2.84
Er10 0.1842 0.3106 0.4948  3 Ni 2.63-2.84
Er11 0.8158 0.6894 0.5052  3 Ni 2.63-2.84
Er12 0.1842 0.6894 0.8736  3 Ni 2.63-2.84
Ni1 0.3759 0.5000 0.8759  1 Ni 2.42, 2 Er 2.63
Ni2 0.6241 0.5000 0.1241  1 Ni 2.42, 2 Er 2.63
Ni3 0.5000 0.8759 0.3759  1 Ni 2.42, 2 Er 2.63
Ni4 0.5000 0.1241 0.6241  1 Ni 2.42, 2 Er 2.63
Ni5 0.8759 0.3759 0.5000  1 Ni 2.42, 2 Er 2.63
Ni6 0.1241 0.6241 0.5000  1 Ni 2.42, 2 Er 2.63